Computed, not measured: an optimized crystal structure of TlZnCo2 at the PBE level of DFT.

## Properties
- ρ: 10745 kg/m3
- Polymorph energy (0 for the lowest one): 176.2 meV per atom
- Total magnetic moment: 0.61 μB per atom

Structure (POSCAR):
```
TlZnCo2
1.0
3.037 0.000 0.000
0.000 4.739 0.009
0.000 3.411 4.169
Co Zn Tl
2 1 1
direct
0.500 0.500 0.000
0.000 0.000 0.000
0.000 0.000 0.500
0.500 0.500 0.500
```

Computed, not measured: an optimized crystal structure of RbZrAu3 at the PBE level of DFT.

## Properties
- ρ: 7596 kg/m3
- Polymorph energy (0 for the lowest one): 1372.4 meV per atom
- Total magnetic moment: 0.39 μB per atom

Structure (POSCAR):
```
RbZrAu3
1.0
-2.778 1.619 -4.482
-4.639 0.270 2.972
1.092 5.266 1.225
Au Rb Zr
3 1 1
direct
0.500 0.000 0.000
0.000 0.000 0.500
0.000 0.500 0.000
0.000 0.000 0.000
0.500 0.500 0.500
```

Computed, not measured: an optimized crystal structure of Na3Ga5O12 at the PBE level of DFT.

## Properties
- ρ: 4259 kg/m3
- Raw formation energy: -1.224 eV per atom
- Total magnetic moment: 0.30 μB per atom

Structure (POSCAR):
```
Na3Ga5O12
1.0
-9.827 0.668 -4.252
1.113 -9.444 4.968
1.384 7.947 7.073
O Ga Na
48 20 12
direct
0.208 0.685 0.109
0.891 0.815 0.792
0.076 0.185 0.477
0.315 0.523 0.424
0.401 0.424 0.109
0.891 0.076 0.599
0.599 0.023 0.208
0.315 0.792 0.391
0.977 0.576 0.185
0.708 0.099 0.023
0.292 0.901 0.977
0.391 0.292 0.315
0.401 0.977 0.792
0.099 0.708 0.523
0.477 0.792 0.901
0.477 0.685 0.076
0.523 0.315 0.924
0.292 0.391 0.815
0.685 0.208 0.609
0.523 0.208 0.099
0.109 0.185 0.208
0.424 0.401 0.609
0.023 0.599 0.708
0.185 0.076 0.977
0.609 0.708 0.685
0.977 0.401 0.292
0.901 0.292 0.477
0.792 0.477 0.401
0.391 0.099 0.576
0.599 0.576 0.891
0.424 0.023 0.315
0.792 0.315 0.891
0.924 0.815 0.523
0.109 0.924 0.401
0.208 0.523 0.599
0.576 0.599 0.391
0.099 0.391 0.076
0.023 0.424 0.815
0.576 0.977 0.685
0.685 0.477 0.576
0.901 0.609 0.924
0.815 0.924 0.023
0.609 0.901 0.424
0.708 0.609 0.185
0.815 0.891 0.292
0.076 0.891 0.099
0.924 0.109 0.901
0.185 0.109 0.708
0.875 0.250 0.625
0.250 0.375 0.625
0.250 0.875 0.125
0.500 0.000 0.000
0.375 0.125 0.750
0.750 0.125 0.875
0.500 0.000 0.500
0.750 0.625 0.375
0.375 0.250 0.125
0.875 0.625 0.750
0.125 0.375 0.250
0.000 0.500 0.500
0.500 0.500 0.000
0.500 0.500 0.500
0.625 0.875 0.250
0.000 0.000 0.000
0.000 0.500 0.000
0.000 0.000 0.500
0.625 0.750 0.875
0.125 0.750 0.375
0.125 0.250 0.875
0.375 0.625 0.250
0.250 0.625 0.875
0.750 0.375 0.125
0.625 0.375 0.750
0.250 0.125 0.375
0.875 0.125 0.250
0.125 0.875 0.750
0.375 0.750 0.625
0.875 0.750 0.125
0.625 0.250 0.375
0.750 0.875 0.625
```